(1)
Here is a relaxed LaNdTlI crystal from Alexandria. Energies are from GGA-PBE.

abc: 5.6205 5.6205 5.6205
angles: 60.00 60.00 60.00
Fractional coordinates of all 4 atoms:
La  0.0000  0.0000  0.0000
Nd  0.5000  0.5000  0.5000
Tl  0.2500  0.2500  0.2500
I  0.7500  0.7500  0.7500

Results
Its uncorrected formation energy is -0.548 eV/atom. As for the total magnetization: 0.00 Bohr magnetons per cell. Its relative energy among the computed polymorphs is 108 meV/atom.

(2)
Here is a relaxed LuTiFeCo crystal from Alexandria. Energies are from GGA-PBE.

abc: 4.3891 4.3891 4.3891
angles: 60.00 60.00 60.00
Fractional coordinates of all 4 atoms:
Lu  0.0000  0.0000  0.0000
Ti  0.5000  0.5000  0.5000
Fe  0.2500  0.2500  0.2500
Co  0.7500  0.7500  0.7500

Results
As for the total magnetization: 0.33 Bohr magnetons per cell. The formation enthalpy at 0 K comes out at -0.173 eV per atom.

(3)
Here is a relaxed ThCrC crystal from Alexandria. Energies are from GGA-PBE.

abc: 6.2947 5.8987 3.2173
angles: 81.63 67.99 30.38
Fractional coordinates of all 3 atoms:
Th  0.0000  0.0000  0.0000
Cr  0.2646  0.2646  0.7354
C  0.6790  0.6790  0.3210

Results
As for the total magnetization: 1.76 Bohr magnetons per cell. The formation enthalpy at 0 K comes out at 0.660 eV per atom.

(4)
Here is a relaxed LiCu2Rh4O8 crystal from Alexandria. Energies are from GGA-PBE.

abc: 6.3009 6.3009 6.3009
angles: 56.88 56.88 56.88
Fractional coordinates of all 15 atoms:
Li  0.0000  0.0000  0.0000
Cu  0.1469  0.1469  0.1469
Cu  0.8531  0.8531  0.8531
Rh  0.0000  0.5000  0.5000
Rh  0.5000  0.0000  0.5000
Rh  0.5000  0.5000  0.0000
Rh  0.5000  0.5000  0.5000
O  0.2582  0.2582  0.7234
O  0.2582  0.7234  0.2582
O  0.2664  0.2664  0.2664
O  0.2766  0.7418  0.7418
O  0.7234  0.2582  0.2582
O  0.7336  0.7336  0.7336
O  0.7418  0.2766  0.7418
O  0.7418  0.7418  0.2766

Results
Its uncorrected formation energy is -0.707 eV/atom. As for the total magnetization: 0.00 Bohr magnetons per cell. Its relative energy among the computed polymorphs is 0 meV/atom.

(5)
Here is a relaxed SiTe2Cl crystal from Alexandria. Energies are from GGA-PBE.

abc: 3.1213 3.1213 12.2227
angles: 90.00 90.00 104.86
Fractional coordinates of all 4 atoms:
Si  0.0000  0.0000  0.0000
Te  0.0000  0.0000  0.4834
Te  0.5000  0.5000  0.7971
Cl  0.5000  0.5000  0.1365

Results
Its uncorrected formation energy is 0.172 eV/atom. As for the total magnetization: 0.00 Bohr magnetons per cell. Its relative energy among the computed polymorphs is 258 meV/atom.

(6)
Here is a relaxed Ho2ErAu crystal from Alexandria. Energies are from GGA-PBE.

abc: 3.5556 3.5556 8.6450
angles: 90.00 90.00 90.00
Fractional coordinates of all 4 atoms:
Ho  0.0000  0.0000  0.2083
Ho  0.0000  0.0000  0.7917
Er  0.5000  0.5000  0.5000
Au  0.5000  0.5000  0.0000

Results
As for the total magnetization: 0.00 Bohr magnetons per cell. Its relative energy among the computed polymorphs is 59 meV/atom. The formation enthalpy at 0 K comes out at -0.397 eV per atom.

(7)
Here is a relaxed TlCoSe2 crystal from Alexandria. Energies are from GGA-PBE.

abc: 8.0141 8.0141 8.0141
angles: 152.55 152.55 39.21
Fractional coordinates of all 4 atoms:
Tl  0.0000  0.0000  0.0000
Co  0.2500  0.7500  0.5000
Se  0.5000  0.5000  0.0000
Se  0.7500  0.2500  0.5000

Results
Its uncorrected formation energy is 0.412 eV/atom. As for the total magnetization: 2.39 Bohr magnetons per cell.

(8)
Here is a relaxed RbLiH2 crystal from Alexandria. Energies are from GGA-PBE.

abc: 5.7624 8.5761 5.4609
angles: 90.00 90.00 90.00
Fractional coordinates of all 16 atoms:
Rb  0.0757  0.1277  0.0000
Rb  0.4243  0.6277  0.5000
Rb  0.5757  0.3723  0.0000
Rb  0.9243  0.8723  0.5000
Li  0.0189  0.3748  0.4960
Li  0.4811  0.8748  0.9960
Li  0.5189  0.1252  0.4960
Li  0.9811  0.6252  0.9960
H  0.0571  0.4431  0.1709
H  0.1818  0.7937  0.0606
H  0.3182  0.2937  0.5606
H  0.4429  0.9431  0.6709
H  0.5571  0.0569  0.1709
H  0.6818  0.7063  0.0606
H  0.8182  0.2063  0.5606
H  0.9429  0.5569  0.6709

Results
As for the total magnetization: 0.00 Bohr magnetons per cell. Its relative energy among the computed polymorphs is 0 meV/atom.

(9)
Here is a relaxed Li2MgCd crystal from Alexandria. Energies are from GGA-PBE.

abc: 6.1089 6.1089 6.1089
angles: 102.73 102.73 124.01
Fractional coordinates of all 8 atoms:
Li  0.1104  0.1250  0.4854
Li  0.3750  0.8896  0.0146
Li  0.6396  0.6250  0.5146
Li  0.8750  0.3604  0.9854
Mg  0.2500  0.7500  0.5000
Mg  0.5000  0.5000  0.0000
Cd  0.0000  0.0000  0.0000
Cd  0.7500  0.2500  0.5000

Results
As for the total magnetization: 0.00 Bohr magnetons per cell. Its relative energy among the computed polymorphs is 187 meV/atom. The formation enthalpy at 0 K comes out at 0.010 eV per atom.

(10)
Here is a relaxed LiScZn3 crystal from Alexandria. Energies are from GGA-PBE.

abc: 5.2954 5.2954 5.2954
angles: 90.00 90.00 90.00
Fractional coordinates of all 5 atoms:
Li  0.0000  0.0000  0.0000
Sc  0.5000  0.5000  0.5000
Zn  0.0000  0.5000  0.5000
Zn  0.5000  0.0000  0.5000
Zn  0.5000  0.5000  0.0000

Results
As for the total magnetization: 0.00 Bohr magnetons per cell. Its relative energy among the computed polymorphs is 719 meV/atom. The formation enthalpy at 0 K comes out at 0.599 eV per atom.

(11)
Here is a relaxed TaTeRu crystal from Alexandria. Energies are from GGA-PBE.

abc: 6.2836 6.2836 3.1694
angles: 99.78 99.78 29.14
Fractional coordinates of all 3 atoms:
Ta  0.0000  0.0000  0.0000
Te  0.3139  0.3139  0.5425
Ru  0.6162  0.6162  0.5890

Results
Its uncorrected formation energy is 0.078 eV/atom. As for the total magnetization: 0.00 Bohr magnetons per cell. Its relative energy among the computed polymorphs is 313 meV/atom.

(12)
Here is a relaxed Zr5Au crystal from Alexandria. Energies are from GGA-PBE.

abc: 5.7926 5.7926 4.9697
angles: 90.00 90.00 120.00
Fractional coordinates of all 6 atoms:
Zr  0.0000  0.5000  0.0000
Zr  0.3333  0.6667  0.5000
Zr  0.5000  0.0000  0.0000
Zr  0.5000  0.5000  0.0000
Zr  0.6667  0.3333  0.5000
Au  0.0000  0.0000  0.5000

Results
As for the total magnetization: 0.00 Bohr magnetons per cell. Its relative energy among the computed polymorphs is 730 meV/atom. The formation enthalpy at 0 K comes out at 0.546 eV per atom.

(13)
Here is a relaxed YFeRu crystal from Alexandria. Energies are from GGA-PBE.

abc: 5.2604 5.2604 5.2604
angles: 120.83 118.61 90.50
Fractional coordinates of all 6 atoms:
Y  0.3759  0.1259  0.2500
Y  0.6241  0.8741  0.7500
Fe  0.0000  0.0000  0.5000
Fe  0.0000  0.5000  0.0000
Ru  0.0000  0.5000  0.5000
Ru  0.5000  0.5000  0.0000

Results
As for the total magnetization: 4.55 Bohr magnetons per cell. The formation enthalpy at 0 K comes out at -0.219 eV per atom.

(14)
Here is a relaxed RbEr4Se6 crystal from Alexandria. Energies are from GGA-PBE.

abc: 7.1195 7.1195 21.7611
angles: 90.00 90.00 146.43
Fractional coordinates of all 22 atoms:
Rb  0.1560  0.8440  0.7500
Rb  0.8440  0.1560  0.2500
Er  0.0970  0.9030  0.1316
Er  0.0970  0.9030  0.3684
Er  0.3677  0.6323  0.0398
Er  0.3677  0.6323  0.4602
Er  0.6323  0.3677  0.5398
Er  0.6323  0.3677  0.9602
Er  0.9030  0.0970  0.6316
Er  0.9030  0.0970  0.8684
Se  0.0000  0.0000  0.0000
Se  0.0000  0.0000  0.5000
Se  0.1513  0.8487  0.2500
Se  0.2708  0.7292  0.5799
Se  0.2708  0.7292  0.9201
Se  0.4628  0.5372  0.1506
Se  0.4628  0.5372  0.3494
Se  0.5372  0.4628  0.6506
Se  0.5372  0.4628  0.8494
Se  0.7292  0.2708  0.0799
Se  0.7292  0.2708  0.4201
Se  0.8487  0.1513  0.7500

Results
Its uncorrected formation energy is -1.749 eV/atom. As for the total magnetization: 0.00 Bohr magnetons per cell.

(15)
Here is a relaxed BaCdSe crystal from Alexandria. Energies are from GGA-PBE.

abc: 9.6594 9.6594 9.6594
angles: 32.56 32.56 32.56
Fractional coordinates of all 6 atoms:
Ba  0.1005  0.1005  0.1005
Ba  0.8995  0.8995  0.8995
Cd  0.3238  0.3238  0.3238
Cd  0.6762  0.6762  0.6762
Se  0.2192  0.2192  0.2192
Se  0.7808  0.7808  0.7808

Results
Its uncorrected formation energy is -1.129 eV/atom. As for the total magnetization: 0.00 Bohr magnetons per cell. Its relative energy among the computed polymorphs is 0 meV/atom.

(16)
Here is a relaxed ScCdRe4 crystal from Alexandria. Energies are from GGA-PBE.

abc: 5.2857 5.2857 5.2857
angles: 60.00 60.00 60.00
Fractional coordinates of all 6 atoms:
Sc  0.0000  0.0000  0.0000
Cd  0.7500  0.7500  0.7500
Re  0.3752  0.3752  0.3752
Re  0.3752  0.3752  0.8745
Re  0.3752  0.8745  0.3752
Re  0.8745  0.3752  0.3752

Results
As for the total magnetization: 0.00 Bohr magnetons per cell. The formation enthalpy at 0 K comes out at 0.092 eV per atom.

(17)
Here is a relaxed TlReSb2 crystal from Alexandria. Energies are from GGA-PBE.

abc: 5.1346 5.1346 3.4413
angles: 90.00 90.00 90.00
Fractional coordinates of all 4 atoms:
Tl  0.0000  0.0000  0.0000
Re  0.5000  0.5000  0.0000
Sb  0.0000  0.5000  0.5000
Sb  0.5000  0.0000  0.5000

Results
Its uncorrected formation energy is 0.975 eV/atom. As for the total magnetization: 1.21 Bohr magnetons per cell. Its relative energy among the computed polymorphs is 755 meV/atom.

(18)
Here is a relaxed CsKH6Au2 crystal from Alexandria. Energies are from GGA-PBE.

abc: 7.4159 7.4159 6.5679
angles: 94.37 94.37 90.12
Fractional coordinates of all 20 atoms:
Cs  0.1106  0.8894  0.7500
Cs  0.8894  0.1106  0.2500
K  0.4140  0.5860  0.2500
K  0.5860  0.4140  0.7500
H  0.0802  0.7302  0.1914
H  0.1961  0.2978  0.6566
H  0.2660  0.5532  0.8869
H  0.2698  0.9198  0.3086
H  0.2978  0.1961  0.1566
H  0.4468  0.7340  0.6131
H  0.5532  0.2660  0.3869
H  0.7022  0.8039  0.8434
H  0.7302  0.0802  0.6914
H  0.7340  0.4468  0.1131
H  0.8039  0.7022  0.3434
H  0.9198  0.2698  0.8086
Au  0.0933  0.4086  0.8486
Au  0.4086  0.0933  0.3486
Au  0.5914  0.9067  0.6514
Au  0.9067  0.5914  0.1514

Results
As for the total energy: -2.983 eV/atom. As for the total magnetization: 0.00 Bohr magnetons per cell.

(19)
Here is a relaxed In3TeH4 crystal from Alexandria. Energies are from GGA-PBE.

abc: 7.1892 7.1892 5.5062
angles: 99.47 99.47 37.61
Fractional coordinates of all 8 atoms:
In  0.0000  0.0000  0.0000
In  0.1492  0.1492  0.5300
In  0.8508  0.8508  0.4700
Te  0.5000  0.5000  0.5000
H  0.1564  0.1564  0.8592
H  0.2545  0.2545  0.3746
H  0.7455  0.7455  0.6254
H  0.8436  0.8436  0.1408

Results
As for the total energy: -2.830 eV/atom. As for the total magnetization: 0.00 Bohr magnetons per cell.